No. 1
## Co2AgBr (GGA-PBE)

Data for crystalline Co2AgBr at its relaxed geometry.

magnetization = 4.04 μB per cell
ΔE_f (raw) = 2.1 eV/f.u.
N(E_F) = 4.65 states/eV per cell
polymorph energy (0 for the lowest one) = 148 meV/atom

Unit cell a=3.1503 b=3.7931 c=6.3297 alpha=90.02 beta=90.00 gamma=90.00
With the nearest neighbours (Å) after each atom.
Sites, in units of the cell vectors:
Br 0.5000 0.7500 0.7500  4 Co 2.59
Ag 0.5000 0.2500 0.2500  8 Co 2.70
Co 0.0000 0.7498 0.4253  1 Co 2.22
Co 0.0000 0.7502 0.0747  1 Co 2.22

***

No. 2
## CoAg2Br4 (GGA-PBE)

Data for crystalline CoAg2Br4 at its relaxed geometry.

magnetization = 3.00 μB per cell
ΔE_f (raw) = -2.1 eV/f.u.

Unit cell a=6.6311 b=6.6311 c=7.0559 alpha=118.03 beta=118.03 gamma=90.00
With the nearest neighbours (Å) after each atom.
Sites, in units of the cell vectors:
Ag 0.5000 0.0000 0.0000  4 Br 2.74
Ag 0.0000 0.5000 0.0000  4 Br 2.74
Br 0.3437 0.3437 0.2609  1 Co 2.43
Br 0.0828 0.6563 0.7391  1 Co 2.43
Br 0.6563 0.0828 0.7391  1 Co 2.43
Br 0.9172 0.9172 0.2609  1 Co 2.43
Co 0.0000 0.0000 0.0000  4 Br 2.43

***

No. 3
## Co2AgBr (GGA-PBE)

Data for crystalline Co2AgBr at its relaxed geometry.

magnetization = 3.54 μB per cell
ΔE_f (raw) = 2.7 eV/f.u.
N(E_F) = 6.34 states/eV per cell
polymorph energy (0 for the lowest one) = 319 meV/atom

Unit cell a=8.0603 b=8.0603 c=8.0603 alpha=21.88 beta=21.88 gamma=21.88
With the nearest neighbours (Å) after each atom.
Sites, in units of the cell vectors:
Ag 0.2500 0.2500 0.2500  6 Co 2.72
Br 0.7500 0.7500 0.7500  6 Co 2.57
Co 0.4957 0.4957 0.4957  3 Br 2.57, 3 Ag 2.72
Co 0.0043 0.0043 0.0043  3 Br 2.57, 3 Ag 2.72

***

No. 4
## Co2AgBr (GGA-PBE)

Data for crystalline Co2AgBr at its relaxed geometry.

magnetization = 3.36 μB per cell
ΔE_f (raw) = 3.4 eV/f.u.
N(E_F) = 6.95 states/eV per cell
polymorph energy (0 for the lowest one) = 481 meV/atom

Unit cell a=4.4469 b=4.4469 c=4.4469 alpha=60.00 beta=60.00 gamma=60.00
With the nearest neighbours (Å) after each atom.
Sites, in units of the cell vectors:
Ag 0.5000 0.5000 0.5000  8 Co 2.72
Br 0.0000 0.0000 0.0000  8 Co 2.72
Co 0.7500 0.7500 0.7500  4 Br 2.72, 4 Ag 2.72
Co 0.2500 0.2500 0.2500  4 Ag 2.72, 4 Br 2.72

***

No. 5
## CoAg2Br6 (GGA-PBE)

Data for crystalline CoAg2Br6 at its relaxed geometry.

magnetization = 0.48 μB per cell
ΔE_f (raw) = -2.3 eV/f.u.
N(E_F) = 22.72 states/eV per cell
polymorph energy (0 for the lowest one) = 0 meV/atom

Unit cell a=6.7700 b=6.4293 c=11.2699 alpha=90.00 beta=89.50 gamma=90.00
With the nearest neighbours (Å) after each atom.
Sites, in units of the cell vectors:
Br 0.7170 0.2231 0.5056  1 Co 2.39
Br 0.6551 0.2771 0.8520  1 Co 2.43, 1 Ag 2.71
Br 0.6561 0.2979 0.1565  1 Co 2.44, 1 Ag 2.73
Br 0.3449 0.7229 0.1480  1 Co 2.43, 1 Ag 2.71
Br 0.3439 0.7021 0.8435  1 Co 2.44, 1 Ag 2.73
Ag 0.0027 0.5093 0.1802  6 Br 2.71-2.92
Ag 0.4973 0.0093 0.3198  6 Br 2.71-2.92
Br 0.1561 0.2021 0.6565  1 Co 2.44, 1 Ag 2.73
Br 0.7830 0.7231 0.9944  1 Co 2.39
Br 0.2830 0.7769 0.4944  1 Co 2.39
Co 0.5000 0.5000 0.0000  6 Br 2.39-2.44
Ag 0.9973 0.4907 0.8198  6 Br 2.71-2.92
Br 0.8439 0.7979 0.3435  1 Co 2.44, 1 Ag 2.73
Br 0.8449 0.7771 0.6480  1 Co 2.43, 1 Ag 2.71
Br 0.2170 0.2769 0.0056  1 Co 2.39
Br 0.1551 0.2229 0.3520  1 Co 2.43, 1 Ag 2.71
Co 0.0000 0.0000 0.5000  6 Br 2.39-2.44
Ag 0.5027 0.9907 0.6802  6 Br 2.71-2.92

***

No. 6
## Co2AgBr (GGA-PBE)

Data for crystalline Co2AgBr at its relaxed geometry.

magnetization = 3.70 μB per cell
ΔE_f (raw) = 1.5 eV/f.u.
N(E_F) = 4.30 states/eV per cell
polymorph energy (0 for the lowest one) = 0 meV/atom

Unit cell a=3.0859 b=3.1691 c=7.1428 alpha=89.78 beta=90.00 gamma=90.00
With the nearest neighbours (Å) after each atom.
Sites, in units of the cell vectors:
Br 0.5000 0.7542 0.7911  2 Co 2.48
Co 0.0000 0.7501 0.0634  4 Co 2.43, 2 Br 2.48, 1 Ag 2.69
Ag 0.0000 0.7467 0.4399  5 Co 2.69-2.77, 2 Br 2.95
Co 0.5000 0.2490 0.2056  4 Co 2.43

***

No. 7
## Co2AgBr (GGA-PBE)

Data for crystalline Co2AgBr at its relaxed geometry.

magnetization = 3.30 μB per cell
ΔE_f (raw) = 3.3 eV/f.u.
N(E_F) = 6.21 states/eV per cell
polymorph energy (0 for the lowest one) = 466 meV/atom

Unit cell a=5.2390 b=5.2390 c=5.2390 alpha=145.83 beta=127.03 gamma=64.56
With the nearest neighbours (Å) after each atom.
Sites, in units of the cell vectors:
Ag 0.7500 0.2500 0.5000  4 Br 2.80, 8 Co 2.84-3.10, 2 Ag 3.08
Br 0.2500 0.7500 0.5000  4 Co 2.56, 4 Ag 2.80
Co 0.4807 0.4807 0.0000  2 Br 2.56, 4 Co 2.82, 2 Ag 2.84
Co 0.0193 0.0193 0.0000  2 Br 2.56, 4 Co 2.82, 2 Ag 2.84

***

No. 8
## Co2AgBr (GGA-PBE)

Data for crystalline Co2AgBr at its relaxed geometry.

magnetization = 3.85 μB per cell
ΔE_f (raw) = 2.3 eV/f.u.
N(E_F) = 3.70 states/eV per cell
polymorph energy (0 for the lowest one) = 208 meV/atom

Unit cell a=6.1337 b=6.1337 c=6.1337 alpha=150.62 beta=137.60 gamma=52.42
With the nearest neighbours (Å) after each atom.
Sites, in units of the cell vectors:
Co 0.9951 0.9951 0.0000  2 Co 2.27
Ag 0.4724 0.4724 0.0000  6 Co 2.62-2.72
Br 0.1875 0.6875 0.5000  2 Co 2.63
Co 0.8449 0.3449 0.5000  2 Co 2.27

***

No. 9
## Co2AgBr (GGA-PBE)

Data for crystalline Co2AgBr at its relaxed geometry.

magnetization = 3.93 μB per cell
ΔE_f (raw) = 2.7 eV/f.u.
N(E_F) = 4.40 states/eV per cell
polymorph energy (0 for the lowest one) = 299 meV/atom

Unit cell a=3.3594 b=3.3594 c=6.1129 alpha=90.00 beta=90.00 gamma=90.00
With the nearest neighbours (Å) after each atom.
Sites, in units of the cell vectors:
Co 0.0000 0.0000 0.0588  1 Co 2.34
Br 0.5000 0.5000 0.7500  8 Co 3.03, 2 Ag 3.06, 4 Br 3.36
Co 0.0000 0.0000 0.4412  1 Co 2.34
Ag 0.5000 0.5000 0.2500  8 Co 2.65

***

No. 10
## Co5Ag3Br12 (GGA-PBE)

Data for crystalline Co5Ag3Br12 at its relaxed geometry.

magnetization = 56.02 μB per cell
ΔE_f (raw) = -3.7 eV/f.u.
N(E_F) = 63.73 states/eV per cell

Unit cell a=13.9007 b=13.9007 c=13.9007 alpha=109.47 beta=109.47 gamma=109.47
With the nearest neighbours (Å) after each atom.
Sites, in units of the cell vectors:
Ag 0.3750 0.6250 0.2500  8 Br 3.07-3.20
Br 0.3784 0.9739 0.7959  2 Co 2.40-2.60
Br 0.7041 0.1216 0.0261  2 Co 2.40-2.60
Br 0.9045 0.8220 0.5261  2 Co 2.40-2.60
Br 0.0955 0.9174 0.1216  2 Co 2.40-2.60
Br 0.6216 0.5955 0.9174  2 Co 2.40-2.60
Br 0.4739 0.7959 0.8784  2 Co 2.40-2.60
Br 0.5261 0.3220 0.9045  2 Co 2.40-2.60
Co 0.0000 0.0000 0.0000  6 Br 2.60
Br 0.4045 0.3784 0.5826  2 Co 2.40-2.60
Br 0.7041 0.5826 0.1780  2 Co 2.40-2.60
Co 0.0000 0.5000 0.0000  6 Br 2.60
Co 0.3750 0.2500 0.1250  4 Br 2.40
Co 0.5000 0.5000 0.0000  6 Br 2.60
Co 0.0000 0.0000 0.5000  6 Br 2.60
Br 0.0261 0.4045 0.8220  2 Co 2.40-2.60
Ag 0.1250 0.2500 0.8750  8 Br 3.07-3.20
Br 0.8220 0.9174 0.2959  2 Co 2.40-2.60
Br 0.2041 0.5261 0.6216  2 Co 2.40-2.60
Br 0.9174 0.8220 0.7959  2 Co 2.40-2.60
Br 0.3220 0.7959 0.4174  2 Co 2.40-2.60
Ag 0.8750 0.7500 0.1250  8 Br 3.07-3.20
Br 0.7959 0.4739 0.3784  2 Co 2.40-2.60
Br 0.5955 0.9739 0.6780  2 Co 2.40-2.60
Br 0.8220 0.9045 0.0261  2 Co 2.40-2.60
Ag 0.3750 0.7500 0.6250  8 Br 3.07-3.20
Br 0.8784 0.2959 0.4739  2 Co 2.40-2.60
Br 0.4174 0.2959 0.3220  2 Co 2.40-2.60
Br 0.5261 0.2041 0.1216  2 Co 2.40-2.60
Ag 0.6250 0.2500 0.3750  8 Br 3.07-3.20
Ag 0.6250 0.3750 0.7500  8 Br 3.07-3.20
Br 0.8784 0.5826 0.9045  2 Co 2.40-2.60
Br 0.3220 0.5261 0.4045  2 Co 2.40-2.60
Ag 0.2500 0.1250 0.3750  8 Br 3.07-3.20
Co 0.8750 0.2500 0.6250  4 Br 2.40
Co 0.5000 0.0000 0.0000  6 Br 2.60
Br 0.5955 0.6216 0.4174  2 Co 2.40-2.60
Ag 0.7500 0.8750 0.6250  8 Br 3.07-3.20
Br 0.9045 0.0826 0.8784  2 Co 2.40-2.60
Co 0.5000 0.0000 0.5000  6 Br 2.60
Co 0.7500 0.6250 0.3750  4 Br 2.40
Br 0.4174 0.1216 0.5955  2 Co 2.40-2.60
Br 0.6780 0.2041 0.5826  2 Co 2.40-2.60
Br 0.0261 0.6216 0.7041  2 Co 2.40-2.60
Br 0.4045 0.0261 0.3220  2 Co 2.40-2.60
Br 0.6780 0.4739 0.5955  2 Co 2.40-2.60
Br 0.1216 0.4174 0.0955  2 Co 2.40-2.60
Br 0.5826 0.7041 0.6780  2 Co 2.40-2.60
Br 0.7959 0.3220 0.9174  2 Co 2.40-2.60
Br 0.5826 0.8784 0.4045  2 Co 2.40-2.60
Br 0.3784 0.4045 0.0826  2 Co 2.40-2.60
Br 0.1216 0.7041 0.5261  2 Co 2.40-2.60
Br 0.9174 0.0955 0.6216  2 Co 2.40-2.60
Co 0.1250 0.7500 0.3750  4 Br 2.40
Ag 0.1250 0.8750 0.7500  8 Br 3.07-3.20
Co 0.2500 0.3750 0.6250  4 Br 2.40
Co 0.7500 0.1250 0.8750  4 Br 2.40
Co 0.6250 0.8750 0.2500  4 Br 2.40
Br 0.2041 0.6780 0.0826  2 Co 2.40-2.60
Co 0.2500 0.8750 0.1250  4 Br 2.40
Br 0.1780 0.0955 0.9739  2 Co 2.40-2.60
Br 0.0955 0.1780 0.4739  2 Co 2.40-2.60
Br 0.2959 0.8784 0.9739  2 Co 2.40-2.60
Co 0.0000 0.5000 0.5000  6 Br 2.60
Ag 0.7500 0.3750 0.1250  8 Br 3.07-3.20
Br 0.9739 0.5955 0.1780  2 Co 2.40-2.60
Co 0.3750 0.1250 0.7500  4 Br 2.40
Co 0.1250 0.3750 0.2500  4 Br 2.40
Co 0.8750 0.6250 0.7500  4 Br 2.40
Br 0.0826 0.1780 0.2041  2 Co 2.40-2.60
Br 0.4739 0.6780 0.0955  2 Co 2.40-2.60
Co 0.6250 0.7500 0.8750  4 Br 2.40
Co 0.5000 0.5000 0.5000  6 Br 2.60
Ag 0.8750 0.1250 0.2500  8 Br 3.07-3.20
Br 0.0826 0.9045 0.3784  2 Co 2.40-2.60
Br 0.6216 0.0261 0.2041  2 Co 2.40-2.60
Ag 0.2500 0.6250 0.8750  8 Br 3.07-3.20
Br 0.1780 0.0826 0.7041  2 Co 2.40-2.60
Br 0.9739 0.3784 0.2959  2 Co 2.40-2.60
Br 0.2959 0.4174 0.8220  2 Co 2.40-2.60

***

No. 11
## CoAgBr (GGA-PBE)

Data for crystalline CoAgBr at its relaxed geometry.

magnetization = 1.47 μB per cell
ΔE_f (raw) = 1.9 eV/f.u.
N(E_F) = 5.26 states/eV per cell
polymorph energy (0 for the lowest one) = 293 meV/atom

Unit cell a=4.3692 b=4.3692 c=4.3692 alpha=60.00 beta=60.00 gamma=60.00
With the nearest neighbours (Å) after each atom.
Sites, in units of the cell vectors:
Ag 0.0000 0.0000 0.0000  4 Co 2.68
Br 0.5000 0.5000 0.5000  4 Co 2.68
Co 0.2500 0.2500 0.2500  4 Br 2.68, 4 Ag 2.68

***

No. 12
## Co2AgBr (GGA-PBE)

Data for crystalline Co2AgBr at its relaxed geometry.

magnetization = 3.49 μB per cell
ΔE_f (raw) = 3.2 eV/f.u.
N(E_F) = 6.88 states/eV per cell
polymorph energy (0 for the lowest one) = 433 meV/atom

Unit cell a=4.4292 b=4.4292 c=3.1516 alpha=90.00 beta=90.00 gamma=89.86
With the nearest neighbours (Å) after each atom.
Sites, in units of the cell vectors:
Co 0.0000 0.0000 0.0000  4 Ag 2.72, 4 Br 2.72
Ag 0.5000 0.0000 0.5000  8 Co 2.72
Co 0.5000 0.5000 0.0000  4 Br 2.72, 4 Ag 2.72
Br 0.0000 0.5000 0.5000  8 Co 2.72

***

No. 13
## Co2AgBr (GGA-PBE)

Data for crystalline Co2AgBr at its relaxed geometry.

magnetization = 3.20 μB per cell
ΔE_f (raw) = 2.9 eV/f.u.
N(E_F) = 4.38 states/eV per cell
polymorph energy (0 for the lowest one) = 371 meV/atom

Unit cell a=4.1562 b=4.1562 c=5.5119 alpha=79.74 beta=79.74 gamma=42.80
With the nearest neighbours (Å) after each atom.
Sites, in units of the cell vectors:
Co 0.5017 0.5017 0.4611  3 Br 2.45-2.55, 3 Ag 2.72-2.73
Br 0.2500 0.2500 0.2500  6 Co 2.45-2.55
Ag 0.7500 0.7500 0.7500  6 Co 2.72-2.73, 2 Ag 3.03
Co 0.9983 0.9983 0.0389  3 Br 2.45-2.55, 3 Ag 2.72-2.73

***

No. 14
## Co3AgBr (GGA-PBE)

Data for crystalline Co3AgBr at its relaxed geometry.

magnetization = 3.01 μB per cell
ΔE_f (raw) = 5.4 eV/f.u.
N(E_F) = 8.95 states/eV per cell
polymorph energy (0 for the lowest one) = 0 meV/atom

Unit cell a=4.3420 b=4.3420 c=4.3420 alpha=90.00 beta=90.00 gamma=90.00
With the nearest neighbours (Å) after each atom.
Sites, in units of the cell vectors:
Co 0.5000 0.0000 0.0000  2 Br 2.17
Co 0.0000 0.0000 0.5000  2 Br 2.17
Ag 0.5000 0.5000 0.5000  12 Co 3.07
Br 0.0000 0.0000 0.0000  6 Co 2.17
Co 0.0000 0.5000 0.0000  2 Br 2.17

***

No. 15
## Co2AgBr (GGA-PBE)

Data for crystalline Co2AgBr at its relaxed geometry.

magnetization = 3.86 μB per cell
ΔE_f (raw) = 3.2 eV/f.u.
N(E_F) = 6.92 states/eV per cell
polymorph energy (0 for the lowest one) = 432 meV/atom

Unit cell a=2.9909 b=2.9909 c=8.3731 alpha=90.00 beta=90.00 gamma=118.20
With the nearest neighbours (Å) after each atom.
Sites, in units of the cell vectors:
Co 0.0000 0.0000 0.5099  2 Br 2.53, 2 Ag 2.66
Co 0.0000 0.0000 0.9901  2 Br 2.53, 2 Ag 2.66
Br 0.5000 0.5000 0.7500  4 Co 2.53
Ag 0.5000 0.5000 0.2500  4 Co 2.66

***

No. 16
## Co2AgBr (GGA-PBE)

Data for crystalline Co2AgBr at its relaxed geometry.

magnetization = 5.94 μB per cell
ΔE_f (raw) = 3.5 eV/f.u.
N(E_F) = 14.39 states/eV per cell
polymorph energy (0 for the lowest one) = 517 meV/atom

Unit cell a=6.8122 b=6.8122 c=5.6086 alpha=52.61 beta=52.61 gamma=90.00
With the nearest neighbours (Å) after each atom.
Sites, in units of the cell vectors:
Br 0.2500 0.7500 0.5000  4 Co 2.36
Ag 0.7500 0.2500 0.5000  4 Co 2.68, 2 Br 2.87
Co 0.3750 0.4099 0.7500  2 Br 2.36
Ag 0.0000 0.0000 0.0000  4 Co 2.68, 2 Br 2.87
Co 0.5901 0.1250 0.2500  2 Br 2.36
Co 0.8750 0.8401 0.7500  2 Br 2.36
Co 0.1599 0.6250 0.2500  2 Br 2.36
Br 0.5000 0.5000 0.0000  4 Co 2.36

***

No. 17
## Co4AgBr2 (GGA-PBE)

Data for crystalline Co4AgBr2 at its relaxed geometry.

magnetization = 7.69 μB per cell
ΔE_f (raw) = 8.8 eV/f.u.
N(E_F) = 13.39 states/eV per cell

Unit cell a=4.8315 b=4.8315 c=7.2376 alpha=70.50 beta=70.50 gamma=90.00
With the nearest neighbours (Å) after each atom.
Sites, in units of the cell vectors:
Ag 0.0000 0.0000 0.0000  6 Co 2.42-2.49
Br 0.3754 0.3754 0.2492  1 Co 2.30
Co 0.8047 0.8047 0.3907  1 Br 2.30, 1 Ag 2.49
Co 0.0000 0.5000 0.0000  2 Ag 2.42
Br 0.6246 0.6246 0.7508  1 Co 2.30
Co 0.5000 0.0000 0.0000  2 Ag 2.42
Co 0.1953 0.1953 0.6093  1 Br 2.30, 1 Ag 2.49

***

No. 18
## CoAgBr (GGA-PBE)

Data for crystalline CoAgBr at its relaxed geometry.

magnetization = 2.23 μB per cell
ΔE_f (raw) = 1.3 eV/f.u.
N(E_F) = 2.71 states/eV per cell
polymorph energy (0 for the lowest one) = 113 meV/atom

Unit cell a=6.6813 b=6.6813 c=6.6813 alpha=153.12 beta=153.12 gamma=38.38
With the nearest neighbours (Å) after each atom.
Sites, in units of the cell vectors:
Co 0.6761 0.6761 0.0000  4 Br 2.61, 4 Ag 2.81
Br 0.2872 0.2872 0.0000  4 Co 2.61
Ag 0.0367 0.0367 0.0000  4 Co 2.81, 4 Ag 3.11

***

No. 19
## CoAg2Br6 (GGA-PBE)

Data for crystalline CoAg2Br6 at its relaxed geometry.

magnetization = 9.24 μB per cell
ΔE_f (raw) = -2.1 eV/f.u.
N(E_F) = 16.64 states/eV per cell
polymorph energy (0 for the lowest one) = 31 meV/atom

Unit cell a=7.6194 b=9.9321 c=9.9321 alpha=77.74 beta=70.22 gamma=70.22
With the nearest neighbours (Å) after each atom.
Sites, in units of the cell vectors:
Br 0.5036 0.0006 0.8005  1 Co 2.31
Co 0.7500 0.7913 0.2087  4 Br 2.31
Br 0.3511 0.4077 0.7754  1 Co 2.31
Ag 0.9508 0.3341 0.2356  4 Br 2.56-2.82
Ag 0.5492 0.7644 0.6659  4 Br 2.56-2.82
Br 0.6489 0.5923 0.2246  1 Co 2.31
Br 0.2494 0.8218 0.5780  2 Ag 2.56-2.57
Br 0.7494 0.5780 0.8218  2 Ag 2.56-2.57
Ag 0.0492 0.6659 0.7644  4 Br 2.56-2.82
Br 0.9964 0.1995 0.9994  1 Co 2.31
Br 0.4964 0.9994 0.1995  1 Co 2.31
Br 0.7506 0.1782 0.4220  2 Ag 2.56-2.57
Ag 0.4508 0.2356 0.3341  4 Br 2.56-2.82
Br 0.8511 0.7754 0.4077  1 Co 2.31
Br 0.0036 0.8005 0.0006  1 Co 2.31
Br 0.1489 0.2246 0.5923  1 Co 2.31
Co 0.2500 0.2087 0.7913  4 Br 2.31
Br 0.2506 0.4220 0.1782  2 Ag 2.56-2.57

***

No. 20
## Co2AgBr (GGA-PBE)

Data for crystalline Co2AgBr at its relaxed geometry.

magnetization = 3.57 μB per cell
ΔE_f (raw) = 3.5 eV/f.u.
N(E_F) = 4.41 states/eV per cell
polymorph energy (0 for the lowest one) = 512 meV/atom

Unit cell a=4.5045 b=4.5045 c=4.5045 alpha=60.00 beta=60.00 gamma=60.00
With the nearest neighbours (Å) after each atom.
Sites, in units of the cell vectors:
Co 0.0000 0.0000 0.0000  4 Co 2.76, 4 Br 2.76
Ag 0.5000 0.5000 0.5000  4 Br 2.76, 4 Co 2.76
Br 0.7500 0.7500 0.7500  4 Ag 2.76, 4 Co 2.76
Co 0.2500 0.2500 0.2500  4 Co 2.76, 4 Ag 2.76